# 1
The following is a PBE calculation of an optimized crystal structure of IrSe2S2, from Alexandria.

a = 3.730 Å, b = 6.769 Å, c = 5.082 Å
α = 91.43°, β = 111.53°, γ = 90.00°
Sites, in units of the cell vectors:
1 Ir 0.000 0.000 0.000
2 Se 0.395 0.790 0.790
3 Se 0.605 0.210 0.210
4 S 0.836 0.252 0.673
5 S 0.164 0.748 0.327

Output
- Spin magnetization: 0.00 μB/f.u.
- DOS(E_F): 2.6 states/eV/f.u.
- Total DFT energy (no corrections): -4.9094 eV per atom
- Formation energy without anion corrections: -92.4 meV per atom

***

# 2
The following is a PBE calculation of an optimized crystal structure of IrRhAu2, from Alexandria.

a = 2.789 Å, b = 2.789 Å, c = 9.858 Å
α = 90.00°, β = 90.00°, γ = 120.57°
Sites, in units of the cell vectors:
1 Ir 0.000 0.000 0.487
2 Rh 0.500 0.500 0.262
3 Au 0.000 0.000 0.010
4 Au 0.500 0.500 0.742

Output
- Spin magnetization: 0.00 μB/f.u.
- DOS(E_F): 4.5 states/eV/f.u.
- Total DFT energy (no corrections): -5.4318 eV per atom
- Energy relative to the elements: 260 meV/atom
- Distance to the lowest polymorph of the same formula: 0.473 eV per formula unit

***

# 3
The following is a PBE calculation of an optimized crystal structure of Sc2CuGeC, from Alexandria.

a = 4.498 Å, b = 4.498 Å, c = 3.891 Å
α = 90.00°, β = 90.00°, γ = 90.00°
Sites, in units of the cell vectors:
1 Sc 0.000 0.500 0.000
2 Sc 0.500 0.000 0.000
3 Ge 0.500 0.500 0.500
4 C 0.000 0.000 0.000
5 Cu 0.000 0.000 0.500

Output
- Spin magnetization: 0.00 μB/f.u.
- DOS(E_F): 2.9 states/eV/f.u.
- Total DFT energy (no corrections): -6.5414 eV per atom
- Energy relative to the elements: -421 meV/atom

***

# 4
The following is a PBE calculation of an optimized crystal structure of NbNiMo3, from Alexandria.

a = 4.700 Å, b = 4.700 Å, c = 4.700 Å
α = 90.00°, β = 90.00°, γ = 90.00°
Sites, in units of the cell vectors:
1 Ni 0.500 0.500 0.500
2 Mo 0.000 0.500 0.000
3 Mo 0.000 0.000 0.500
4 Mo 0.500 0.000 0.000
5 Nb 0.000 0.000 0.000

Output
- Spin magnetization: 0.00 μB/f.u.
- DOS(E_F): 6.1 states/eV/f.u.
- Total DFT energy (no corrections): -7.6130 eV per atom
- Energy relative to the elements: 2056 meV/atom
- Distance to the lowest polymorph of the same formula: 4.163 eV per formula unit

***

# 5
The following is a PBE calculation of an optimized crystal structure of HgP2W, from Alexandria.

a = 4.446 Å, b = 4.446 Å, c = 5.450 Å
α = 84.26°, β = 84.26°, γ = 41.53°
Sites, in units of the cell vectors:
1 Hg 0.250 0.250 0.250
2 P 0.032 0.032 0.916
3 P 0.468 0.468 0.584
4 W 0.750 0.750 0.750

Output
- Spin magnetization: 0.00 μB/f.u.
- DOS(E_F): 2.2 states/eV/f.u.
- Total DFT energy (no corrections): -5.7179 eV per atom
- Energy relative to the elements: 301 meV/atom

***

# 6
The following is a PBE calculation of an optimized crystal structure of ThSiRu, from Alexandria.

a = 4.076 Å, b = 4.206 Å, c = 4.206 Å
α = 120.00°, β = 90.00°, γ = 90.00°
Sites, in units of the cell vectors:
1 Ru 0.167 0.333 0.667
2 Si 0.167 0.000 0.000
3 Th 0.667 0.667 0.333

Output
- Spin magnetization: 0.00 μB/f.u.
- DOS(E_F): 4.3 states/eV/f.u.
- Total DFT energy (no corrections): -8.0412 eV per atom
- Formation energy without anion corrections: -668.3 meV per atom

***

# 7
The following is a PBE calculation of an optimized crystal structure of Pr2Dy5Sc, from Alexandria.

a = 9.813 Å, b = 6.654 Å, c = 10.502 Å
α = 118.45°, β = 117.85°, γ = 90.00°
Sites, in units of the cell vectors:
1 Pr 0.168 0.461 0.823
2 Pr 0.655 0.961 0.823
3 Pr 0.832 0.539 0.177
4 Pr 0.345 0.039 0.177
5 Dy 0.494 0.450 0.798
6 Dy 0.938 0.750 0.000
7 Dy 0.062 0.250 0.000
8 Dy 0.876 0.640 0.591
9 Dy 0.124 0.360 0.409
10 Dy 0.715 0.140 0.591
11 Dy 0.285 0.860 0.409
12 Dy 0.506 0.550 0.202
13 Dy 0.304 0.950 0.798
14 Dy 0.696 0.050 0.202
15 Sc 0.000 0.000 0.500
16 Sc 0.500 0.500 0.500

Output
- Spin magnetization: 0.00 μB/f.u.
- DOS(E_F): 11.5 states/eV/f.u.
- Total DFT energy (no corrections): -4.7339 eV per atom
- Energy relative to the elements: 129 meV/atom
- Distance to the lowest polymorph of the same formula: 0.750 eV per formula unit

***

# 8
The following is a PBE calculation of an optimized crystal structure of Fe2CuSiPt, from Alexandria.

a = 4.253 Å, b = 4.235 Å, c = 4.253 Å
α = 90.00°, β = 90.00°, γ = 90.00°
Site moments in Bohr magnetons follow the coordinates.
Sites, in units of the cell vectors:
1 Si 0.000 0.000 0.000  -0.08
2 Cu 0.000 0.500 0.000  0.01
3 Pt 0.500 0.500 0.500  0.20
4 Fe 0.000 0.000 0.500  2.34
5 Fe 0.500 0.000 0.000  2.65

Output
- Spin magnetization: 5.07 μB/f.u.
- DOS(E_F): 4.0 states/eV/f.u.
- Total DFT energy (no corrections): -5.8684 eV per atom
- Distance to the lowest polymorph of the same formula: 0.000 eV per formula unit
- Formation energy without anion corrections: 628.7 meV per atom

***

# 9
The following is a PBE calculation of an optimized crystal structure of Cs2SrInCl6, from Alexandria.

a = 7.960 Å, b = 7.960 Å, c = 11.258 Å
α = 90.00°, β = 90.00°, γ = 90.00°
Site moments in Bohr magnetons follow the coordinates.
Sites, in units of the cell vectors:
1 Cs 0.500 0.751 0.250  0.00
2 Cs 0.000 0.249 0.750  0.00
3 Cs 0.500 0.751 0.750  0.00
4 Cs 0.000 0.249 0.250  0.00
5 Sr 0.000 0.749 0.500  0.01
6 Sr 0.500 0.251 0.000  0.01
7 In 0.500 0.249 0.500  0.19
8 In 0.000 0.751 0.000  0.19
9 Cl 0.500 0.249 0.254  0.03
10 Cl 0.500 0.249 0.746  0.03
11 Cl 0.000 0.751 0.246  0.03
12 Cl 0.000 0.751 0.754  0.03
13 Cl 0.255 0.002 0.500  0.03
14 Cl 0.745 0.002 0.500  0.03
15 Cl 0.253 0.494 0.500  0.03
16 Cl 0.747 0.494 0.500  0.03
17 Cl 0.753 0.506 0.000  0.03
18 Cl 0.247 0.506 0.000  0.03
19 Cl 0.245 0.998 0.000  0.03
20 Cl 0.755 0.998 0.000  0.03

Output
- Spin magnetization: 0.46 μB/f.u.
- DOS(E_F): 4.5 states/eV/f.u.
- Total DFT energy (no corrections): -3.5196 eV per atom
- Formation energy without anion corrections: -1798.9 meV per atom

***

# 10
The following is a PBE calculation of an optimized crystal structure of MgTaGa3, from Alexandria.

a = 5.034 Å, b = 5.034 Å, c = 5.034 Å
α = 90.00°, β = 90.00°, γ = 90.00°
Sites, in units of the cell vectors:
1 Mg 0.500 0.500 0.500
2 Ga 0.000 0.500 0.000
3 Ga 0.000 0.000 0.500
4 Ga 0.500 0.000 0.000
5 Ta 0.000 0.000 0.000

Output
- Spin magnetization: 0.00 μB/f.u.
- DOS(E_F): 3.0 states/eV/f.u.
- Total DFT energy (no corrections): -4.0096 eV per atom
- Energy relative to the elements: 496 meV/atom
- Distance to the lowest polymorph of the same formula: 0.000 eV per formula unit

***

# 11
The following is a PBE calculation of an optimized crystal structure of CsSn2Sb2, from Alexandria.

a = 5.569 Å, b = 5.569 Å, c = 7.142 Å
α = 67.05°, β = 67.05°, γ = 90.00°
Sites, in units of the cell vectors:
1 Cs 0.000 0.000 0.000
2 Sb 0.750 0.250 0.500
3 Sb 0.250 0.750 0.500
4 Sn 0.359 0.359 0.282
5 Sn 0.641 0.641 0.718

Output
- Spin magnetization: 0.00 μB/f.u.
- DOS(E_F): 4.2 states/eV/f.u.
- Total DFT energy (no corrections): -3.5842 eV per atom
- Distance to the lowest polymorph of the same formula: 0.175 eV per formula unit
- Formation energy without anion corrections: -163.4 meV per atom

***

# 12
The following is a PBE calculation of an optimized crystal structure of Y2ErP3Rh12, from Alexandria.

a = 6.703 Å, b = 6.703 Å, c = 6.703 Å
α = 83.78°, β = 83.78°, γ = 83.78°
Sites, in units of the cell vectors:
1 Y 0.628 0.628 0.628
2 Y 0.372 0.372 0.372
3 Er 0.000 0.000 0.000
4 P 0.500 0.000 0.000
5 P 0.000 0.500 0.000
6 P 0.000 0.000 0.500
7 Rh 0.369 0.369 0.908
8 Rh 0.821 0.821 0.336
9 Rh 0.336 0.821 0.821
10 Rh 0.908 0.369 0.369
11 Rh 0.821 0.336 0.821
12 Rh 0.369 0.908 0.369
13 Rh 0.631 0.631 0.092
14 Rh 0.179 0.179 0.664
15 Rh 0.664 0.179 0.179
16 Rh 0.092 0.631 0.631
17 Rh 0.179 0.664 0.179
18 Rh 0.631 0.092 0.631

Output
- Spin magnetization: 0.00 μB/f.u.
- DOS(E_F): 16.3 states/eV/f.u.
- Total DFT energy (no corrections): -7.1797 eV per atom
- Energy relative to the elements: -405 meV/atom

***

# 13
The following is a PBE calculation of an optimized crystal structure of LiCdSn, from Alexandria.

a = 3.933 Å, b = 3.933 Å, c = 5.128 Å
α = 112.55°, β = 112.55°, γ = 90.00°
Sites, in units of the cell vectors:
1 Cd 0.954 0.954 0.909
2 Sn 0.612 0.612 0.224
3 Li 0.283 0.283 0.567

Output
- Spin magnetization: 0.00 μB/f.u.
- DOS(E_F): 0.8 states/eV/f.u.
- Total DFT energy (no corrections): -2.4573 eV per atom
- Energy relative to the elements: -180 meV/atom

***

# 14
The following is a PBE calculation of an optimized crystal structure of PmCuPt4, from Alexandria.

a = 5.360 Å, b = 5.360 Å, c = 5.360 Å
α = 60.00°, β = 60.00°, γ = 60.00°
Sites, in units of the cell vectors:
1 Cu 0.000 0.000 0.000
2 Pt 0.626 0.626 0.123
3 Pt 0.626 0.123 0.626
4 Pt 0.626 0.626 0.626
5 Pt 0.123 0.626 0.626
6 Pm 0.250 0.250 0.250

Output
- Spin magnetization: 0.00 μB/f.u.
- DOS(E_F): 7.4 states/eV/f.u.
- Total DFT energy (no corrections): -6.1251 eV per atom
- Energy relative to the elements: -623 meV/atom
- Distance to the lowest polymorph of the same formula: 0.000 eV per formula unit

***

# 15
The following is a PBE calculation of an optimized crystal structure of Y3Ho3Er2, from Alexandria.

a = 5.003 Å, b = 5.003 Å, c = 10.618 Å
α = 103.62°, β = 103.63°, γ = 90.00°
Sites, in units of the cell vectors:
1 Y 0.626 0.626 0.251
2 Y 0.374 0.374 0.749
3 Y 0.500 0.000 0.000
4 Ho 0.126 0.126 0.252
5 Ho 0.000 0.500 0.000
6 Ho 0.874 0.874 0.748
7 Er 0.750 0.250 0.500
8 Er 0.250 0.750 0.500

Output
- Spin magnetization: 0.00 μB/f.u.
- DOS(E_F): 11.4 states/eV/f.u.
- Total DFT energy (no corrections): -5.2563 eV per atom
- Energy relative to the elements: 25 meV/atom
- Distance to the lowest polymorph of the same formula: 0.000 eV per formula unit

***

# 16
The following is a PBE calculation of an optimized crystal structure of Al8ZnIr2, from Alexandria.

a = 4.760 Å, b = 5.145 Å, c = 7.873 Å
α = 108.89°, β = 107.45°, γ = 90.70°
Sites, in units of the cell vectors:
1 Al 0.840 0.356 0.910
2 Al 0.913 0.979 0.543
3 Al 0.280 0.347 0.277
4 Al 0.693 0.011 0.113
5 Al 0.269 0.839 0.275
6 Al 0.902 0.471 0.542
7 Al 0.341 0.462 0.908
8 Al 0.489 0.807 0.705
9 Zn 0.091 0.909 0.909
10 Ir 0.749 0.568 0.227
11 Ir 0.433 0.250 0.592

Output
- Spin magnetization: 0.00 μB/f.u.
- DOS(E_F): 2.6 states/eV/f.u.
- Total DFT energy (no corrections): -4.9249 eV per atom
- Energy relative to the elements: -476 meV/atom
- Distance to the lowest polymorph of the same formula: 0.000 eV per formula unit

***

# 17
The following is a PBE calculation of an optimized crystal structure of HoMgZrRh, from Alexandria.

a = 4.904 Å, b = 4.904 Å, c = 4.904 Å
α = 60.00°, β = 60.00°, γ = 60.00°
Sites, in units of the cell vectors:
1 Mg 0.000 0.000 0.000
2 Rh 0.500 0.500 0.500
3 Ho 0.750 0.750 0.750
4 Zr 0.250 0.250 0.250

Output
- Spin magnetization: 0.00 μB/f.u.
- DOS(E_F): 3.0 states/eV/f.u.
- Total DFT energy (no corrections): -5.8131 eV per atom
- Energy relative to the elements: -295 meV/atom

***

# 18
The following is a PBE calculation of an optimized crystal structure of IrSe2BrO, from Alexandria.

a = 4.798 Å, b = 4.798 Å, c = 5.170 Å
α = 90.00°, β = 90.00°, γ = 90.00°
Sites, in units of the cell vectors:
1 O 0.500 0.500 0.500
2 Ir 0.000 0.000 0.000
3 Se 0.000 0.500 0.000
4 Se 0.500 0.000 0.000
5 Br 0.000 0.000 0.500

Output
- Spin magnetization: 0.00 μB/f.u.
- DOS(E_F): 9.1 states/eV/f.u.
- Total DFT energy (no corrections): -3.4868 eV per atom
- Distance to the lowest polymorph of the same formula: 0.000 eV per formula unit
- Formation energy without anion corrections: 1005.5 meV per atom

***

# 19
The following is a PBE calculation of an optimized crystal structure of Pm3Dy6Er2, from Alexandria.

a = 4.745 Å, b = 4.745 Å, c = 16.938 Å
α = 98.05°, β = 98.05°, γ = 90.00°
Sites, in units of the cell vectors:
1 Pm 0.000 0.000 0.000
2 Pm 0.798 0.798 0.596
3 Pm 0.202 0.202 0.404
4 Dy 0.120 0.620 0.241
5 Dy 0.620 0.120 0.241
6 Dy 0.880 0.380 0.759
7 Dy 0.380 0.880 0.759
8 Dy 0.694 0.694 0.388
9 Dy 0.306 0.306 0.612
10 Er 0.454 0.454 0.908
11 Er 0.546 0.546 0.092

Output
- Spin magnetization: 0.00 μB/f.u.
- DOS(E_F): 17.2 states/eV/f.u.
- Total DFT energy (no corrections): -4.3571 eV per atom
- Energy relative to the elements: 278 meV/atom

***

# 20
The following is a PBE calculation of an optimized crystal structure of AcGdSnGe, from Alexandria.

a = 5.487 Å, b = 5.487 Å, c = 5.487 Å
α = 60.00°, β = 60.00°, γ = 60.00°
Site moments in Bohr magnetons follow the coordinates.
Sites, in units of the cell vectors:
1 Ac 0.500 0.500 0.500  -0.01
2 Gd 0.000 0.000 0.000  -7.03
3 Ge 0.250 0.250 0.250  0.02
4 Sn 0.750 0.750 0.750  0.02

Output
- Spin magnetization: 7.18 μB/f.u.
- DOS(E_F): 5.1 states/eV/f.u.
- Total DFT energy (no corrections): -7.2217 eV per atom
- Energy relative to the elements: -519 meV/atom